(1)
Material: Ca2CrIn
Method: DFT, SCAN
State: PBEsol geometry

Results
Calculated volume ... 27.50 A^3/atom
Formation enthalpy at 0 K ... -0.061 eV per atom
VASP energy ... -17.84 eV/atom
M_tot ... 4.494 μB/cell

a b c (Å): 3.6591 3.6591 8.2147
angles (deg): 90.00 90.00 90.00
Closest atoms and distances in Å follow each position.
Space group P4mm (No. 99)
Symmetry-distinct sites (fractional):
1 Ca 0.0000 0.0000 0.0000  1 Cr 3.26, 4 In 3.28
2 Ca 0.5000 0.5000 0.3574  1 In 3.26, 4 Cr 3.28
3 Cr 0.0000 0.0000 0.6026  4 In 2.87
4 In 0.5000 0.5000 0.7544  4 Cr 2.87

---

(2)
Material: Ca2CrIn
Method: DFT, SCAN
State: PBEsol geometry

Results
Calculated volume ... 27.72 A^3/atom
Formation enthalpy at 0 K ... -0.119 eV per atom
VASP energy ... -17.89 eV/atom
M_tot ... 9.971 μB/cell

a b c (Å): 4.9548 3.7448 11.9511
angles (deg): 90.00 90.00 90.00
Closest atoms and distances in Å follow each position.
Space group Amm2 (No. 38)
Symmetry-distinct sites (fractional):
1 Ca 0.0000 0.0000 0.0000  3 Cr 3.19-3.40, 4 In 3.28
2 Ca 0.5000 0.0000 0.3084  3 In 3.23-3.35, 4 Cr 3.30
3 Cr 0.0000 0.0000 0.7156  2 In 2.91, 2 Ca 3.19
4 In 0.5000 0.0000 0.5884  2 Cr 2.91, 2 Ca 3.23